[1]
A geometry-optimized NaLiSe structure. Source: the Alexandria database, functional PBE.

The space group is P-6m2 (No. 187) and the conventional cell measures 4.2475, 4.2475 and 4.2438 Å, with angles of 90.00, 90.00 and 120.00 degrees. The distinct sites, in fractional coordinates, are Na at (0.0000, 0.0000, 0.0000), Li at (0.3333, 0.6667, 0.5000) and Se at (0.6667, 0.3333, 0.5000).

For the calculated total energy, the calculation gives -0.12111 Ha/atom.



[2]
A geometry-optimized NaLi2Se2 structure. Source: the Alexandria database, functional PBE.

The space group is I4/mmm (No. 139) and the conventional cell measures 4.242, 4.242 and 11.542 Å, with angles of 90.00, 90.00 and 90.00 degrees. The distinct sites, in fractional coordinates, are Na at (0.000, 0.000, 0.000), Li at (0.000, 0.500, 0.250) and Se at (0.000, 0.000, 0.371).

Its energy above the lowest structure with this stoichiometry is 26 meV/atom.